# K2ScHgCl6

A relaxed K2ScHgCl6 crystal (PBE, the Alexandria database).

**Magnetization**: 0.00 μB per formula unit
**Energy relative to the elements, uncorrected**: -16.2 eV per formula unit
**Crystal system**: cubic

Lattice parameters (Å, degrees): 7.6224 7.6224 7.6224 60.00 60.00 60.00
With the nearest neighbours (Å) after each atom.
Fractional coordinates of all 10 atoms:
Cl (0.7685, 0.2315, 0.7685)  1 Sc 2.50
Cl (0.2315, 0.2315, 0.7685)  1 Sc 2.50
K (0.7500, 0.7500, 0.7500)  12 Cl 3.82
Hg (0.5000, 0.5000, 0.5000)  6 Cl 2.89
Sc (0.0000, 0.0000, 0.0000)  6 Cl 2.50
Cl (0.2315, 0.7685, 0.7685)  1 Sc 2.50
Cl (0.7685, 0.2315, 0.2315)  1 Sc 2.50
K (0.2500, 0.2500, 0.2500)  12 Cl 3.82
Cl (0.7685, 0.7685, 0.2315)  1 Sc 2.50
Cl (0.2315, 0.7685, 0.2315)  1 Sc 2.50